(1)
SiMo2Cl: relaxed, PBE.

- Symmetry: Pmm2 (25)
- Excess energy over the best structure of this formula in the dataset: 297 meV per atom
- Density of states at the Fermi level: 0.760 states/eV per atom
- Uncorrected formation energy: 0.29 eV per atom

Unit cell a=2.744 b=4.169 c=5.539 alpha=90.00 beta=90.00 gamma=90.00
Atoms (fractional coordinates):
Si 0.000 0.000 0.000
Mo 0.000 0.000 0.523
Mo 0.500 0.500 0.800
Cl 0.500 0.500 0.373

***

(2)
Ce6Hg6Bi: relaxed, PBE.

- Symmetry: Cmmm (65)
- Density of states at the Fermi level: 3.281 states/eV per atom
- Formation enthalpy at 0 K: -0.21 eV per atom

Unit cell a=6.380 b=6.380 c=10.773 alpha=90.00 beta=90.00 gamma=120.01
Atoms (fractional coordinates):
Ce 0.000 0.000 0.187
Ce 0.000 0.000 0.813
Ce 0.333 0.667 0.000
Ce 0.334 0.666 0.500
Ce 0.666 0.334 0.500
Ce 0.667 0.333 0.000
Hg 0.000 0.500 0.250
Hg 0.000 0.500 0.750
Hg 0.500 0.000 0.250
Hg 0.500 0.000 0.750
Hg 0.500 0.500 0.249
Hg 0.500 0.500 0.751
Bi 0.000 0.000 0.500

***

(3)
KIn3Bi: relaxed, PBE.

- Symmetry: P1 (1)
- Excess energy over the best structure of this formula in the dataset: 0 meV per atom
- Density of states at the Fermi level: 0.393 states/eV per atom
- Formation enthalpy at 0 K: -0.13 eV per atom

Unit cell a=4.849 b=4.853 c=7.975 alpha=107.24 beta=107.39 gamma=90.19
Atoms (fractional coordinates):
K 0.000 0.000 0.000
In 0.252 0.754 0.505
In 0.383 0.385 0.769
In 0.753 0.250 0.504
Bi 0.610 0.609 0.219

***

(4)
SrSb2Pd2: relaxed, PBE.

- Symmetry: P4/mbm (127)
- Density of states at the Fermi level: 0.572 states/eV per atom
- Uncorrected formation energy: -0.43 eV per atom

Unit cell a=8.305 b=8.305 c=3.313 alpha=90.00 beta=90.00 gamma=90.00
Atoms (fractional coordinates):
Sr 0.000 0.000 0.000
Sr 0.500 0.500 0.000
Sb 0.144 0.356 0.000
Sb 0.356 0.856 0.000
Sb 0.644 0.144 0.000
Sb 0.856 0.644 0.000
Pd 0.145 0.645 0.500
Pd 0.355 0.145 0.500
Pd 0.645 0.855 0.500
Pd 0.855 0.355 0.500